# 1
{"formula": "CaAcIrI", "functional": "GGA-PBE", "state": "relaxed", "sg": "No. 160", "e_tot_ev_per_cell": -19.960, "e_form_raw_mev_per_atom": -860, "lattice": [[4.318, 0.000, 0.000], [-2.158, 3.739, 0.000], [-2.158, -1.246, 8.205]], "species": ["Ac", "Ir", "I", "Ca"], "frac_coords": [[0.090, 0.943, 0.049], [0.301, 0.548, 0.864], [0.979, 0.387, 0.381], [0.508, 0.152, 0.675]]}

# 2
{"formula": "CaCN3", "functional": "GGA-PBE", "state": "relaxed", "sg": "No. 221", "e_tot_ev_per_cell": -27.708, "e_form_raw_mev_per_atom": 1699, "lattice": [[-0.472, -1.406, 3.188], [3.342, -1.094, 0.012], [0.987, 3.032, 1.483]], "species": ["N", "C", "N", "Ca", "N"], "frac_coords": [[0.000, 0.000, 0.500], [0.000, 0.000, 0.000], [0.000, 0.500, 0.000], [0.500, 0.500, 0.500], [0.500, 0.000, 0.000]]}

# 3
{"formula": "MnZnBr2", "functional": "GGA-PBE", "state": "relaxed", "sg": "No. 71", "e_tot_ev_per_cell": -14.693, "e_above_lowest_polymorph_ev_per_fu": 0.493, "e_form_raw_mev_per_atom": -226, "lattice": [[-3.954, 3.675, 3.908], [-2.298, -3.324, 5.299], [5.221, 2.524, -3.284]], "species": ["Br", "Zn", "Mn", "Br"], "frac_coords": [[0.913, 0.913, 0.000], [0.250, 0.750, 0.500], [0.750, 0.250, 0.500], [0.587, 0.587, 0.000]]}

# 4
{"formula": "MnCuPH", "functional": "GGA-PBE", "state": "relaxed", "sg": "No. 156", "e_tot_ev_per_cell": -22.246, "e_above_lowest_polymorph_ev_per_fu": 0.049, "lattice": [[-1.794, 0.869, 1.970], [-0.946, -1.388, -2.243], [0.690, -5.165, 2.905]], "species": ["Cu", "H", "Mn", "P"], "frac_coords": [[0.333, 0.667, 0.090], [0.667, 0.333, 0.291], [0.000, 0.000, 0.454], [0.333, 0.667, 0.712]]}

# 5
{"formula": "CuNi2Rh", "functional": "GGA-PBE", "state": "relaxed", "sg": "No. 216", "e_tot_ev_per_cell": -22.511, "lattice": [[-2.203, -2.003, 2.826], [1.358, -0.245, 3.866], [-1.902, 2.091, 2.980]], "species": ["Ni", "Cu", "Rh", "Ni"], "frac_coords": [[0.000, 0.000, 0.000], [0.500, 0.500, 0.500], [0.750, 0.750, 0.750], [0.250, 0.250, 0.250]]}

# 6
{"formula": "Al2PBr", "functional": "GGA-PBE", "state": "relaxed", "sg": "No. 8", "e_tot_ev_per_cell": -15.620, "e_above_lowest_polymorph_ev_per_fu": 0.000, "e_form_raw_mev_per_atom": -263, "lattice": [[-6.181, -5.851, -2.707], [-3.231, -8.095, -1.946], [-5.017, -6.305, 0.852]], "species": ["Al", "Al", "Br", "P"], "frac_coords": [[0.958, 0.958, 0.257], [0.625, 0.625, 0.577], [0.626, 0.626, 0.293], [0.292, 0.292, 0.373]]}

Please write out number 1 again, unchanged.
{"formula": "CaAcIrI", "functional": "GGA-PBE", "state": "relaxed", "sg": "No. 160", "e_tot_ev_per_cell": -19.960, "e_form_raw_mev_per_atom": -860, "lattice": [[4.318, 0.000, 0.000], [-2.158, 3.739, 0.000], [-2.158, -1.246, 8.205]], "species": ["Ac", "Ir", "I", "Ca"], "frac_coords": [[0.090, 0.943, 0.049], [0.301, 0.548, 0.864], [0.979, 0.387, 0.381], [0.508, 0.152, 0.675]]}